A plane-wave DFT calculation with SCAN was carried out for a crystal of Cs2SrV4O12 relaxed with PBEsol.

Properties
Formation energy from raw total energies (eV/atom): -2.709
Total DFT energy (no corrections) (eV for the cell shown): -294.092
Total magnetic moment (μB/f.u.): 0.00
D(E_F) (states/eV/cell): 0.00

a = 7.8984 Å, b = 7.8984 Å, c = 5.5758 Å
α = 90.00°, β = 90.00°, γ = 90.00°
Fractional positions:
Cs1 0.0000 0.5000 0.0000
Cs2 0.5000 0.0000 0.0000
Sr1 0.0000 0.0000 0.0000
V1 0.2771 0.2771 0.5000
V2 0.2771 0.7229 0.5000
V3 0.7229 0.2771 0.5000
V4 0.7229 0.7229 0.5000
O1 0.1929 0.1929 0.2572
O2 0.1929 0.1929 0.7428
O3 0.1929 0.8071 0.2572
O4 0.1929 0.8071 0.7428
O5 0.2362 0.5000 0.5000
O6 0.5000 0.2362 0.5000
O7 0.5000 0.7638 0.5000
O8 0.7638 0.5000 0.5000
O9 0.8071 0.1929 0.2572
O10 0.8071 0.1929 0.7428
O11 0.8071 0.8071 0.2572
O12 0.8071 0.8071 0.7428